Entry 1:
6
Lattice="0.0000 4.0611 4.0611 4.0611 0.0000 4.0611 4.0611 4.0611 0.0000" Properties=species:S:1:pos:R:3 comment="BaAgAu4 | Alexandria | PBE | optimized geometry" e_tot_ev_per_fu=-19.899 dos_ef_per_ev_fu=3.186 pbc="T T T"
Ba 0.0000 0.0000 0.0000
Ag 6.0917 6.0917 6.0917
Au 3.0535 3.0535 3.0535
Au 5.0687 5.0687 3.0535
Au 5.0687 3.0535 5.0687
Au 3.0535 5.0687 5.0687

---

Entry 2:
20
Lattice="5.1069 -4.5062 0.0000 5.1069 4.5062 0.0000 -1.6602 0.0000 6.4528" Properties=species:S:1:pos:R:3 comment="Zn2CdTeO6 | Alexandria | PBE | optimized geometry" e_tot_ev_per_fu=-48.195 formation_energy_uncorrected_ev_per_atom=-1.1841 pbc="T T T"
Zn 1.6738 0.6263 0.7065
Zn 0.8438 -0.6263 3.9329
Zn 7.7098 0.6263 2.5199
Zn 6.8798 -0.6263 5.7462
Cd 3.8618 0.9012 4.8396
Cd 4.6918 -0.9012 1.6132
Te 4.6918 2.3797 1.6132
Te 3.8618 -2.3797 4.8396
O 0.1743 0.7790 5.1268
O 3.1659 2.5028 6.1332
O 1.0044 -0.7790 1.9004
O 4.5576 2.5028 3.5459
O 3.3685 0.9141 1.6515
O 2.5385 -0.9141 4.8779
O 6.0151 0.9141 1.5749
O 5.1851 -0.9141 4.8012
O 3.9960 -2.5028 2.9068
O 7.5492 0.7790 4.5524
O 5.3877 -2.5028 0.3196
O 8.3793 -0.7790 1.3260

---

Entry 3:
12
Lattice="9.7515 -2.1832 0.0000 9.7515 2.1832 0.0000 -2.4022 0.0000 8.6886" Properties=species:S:1:pos:R:3 comment="Pr3YEr2Te6 | Alexandria | PBE | optimized geometry" e_tot_ev_per_fu=-64.985 formation_energy_uncorrected_ev_per_atom=-1.3506 dos_ef_per_ev_fu=5.836 pbc="T T T"
Pr 0.0000 0.0000 0.0000
Pr 4.9312 0.0000 5.8067
Pr 12.1696 0.0000 2.8818
Y -1.2011 0.0000 4.3443
Er 6.1103 0.0000 1.4661
Er 10.9905 0.0000 7.2225
Te 1.7820 0.0000 5.1560
Te 3.1620 0.0000 0.6290
Te 9.0432 0.0000 2.2336
Te 8.0576 0.0000 6.4550
Te 13.9388 0.0000 8.0596
Te 15.3188 0.0000 3.5326

---

Entry 4:
4
Lattice="2.1746 1.2555 8.2152 -2.1746 1.2555 8.2152 0.0000 -2.5110 8.2152" Properties=species:S:1:pos:R:3 comment="Ba2AlH | Alexandria | PBE | optimized geometry" de_polymorph_ev_per_atom=0.015 e_tot_ev_per_fu=-11.110 dos_ef_per_ev_fu=3.625 pbc="T T T"
Ba 0.0000 0.0000 5.8374
Ba 0.0000 0.0000 18.8081
Al 0.0000 0.0000 0.0000
H 0.0000 0.0000 12.3227

---

Entry 5:
8
Lattice="5.5551 0.0000 0.0000 -0.3737 5.5449 0.0000 -0.3552 -0.3970 5.5370" Properties=species:S:1:pos:R:3 comment="Hf6TcSn | Alexandria | PBE | optimized geometry" e_tot_ev_per_fu=-75.446 dos_ef_per_ev_fu=7.473 pbc="T T T"
Hf -0.0037 0.2369 1.4466
Hf 0.8140 2.2898 5.1974
Hf 1.9929 3.9057 2.6589
Hf 2.8332 1.2421 2.8781
Hf 4.0122 2.8580 0.3396
Hf 4.8298 4.9109 4.0904
Tc -0.3645 2.5739 2.7685
Sn 2.7775 0.0000 0.0000

---

Entry 6:
10
Lattice="-3.2145 4.5722 3.2313 3.2145 -4.5722 3.2313 3.2145 4.5722 -3.2313" Properties=species:S:1:pos:R:3 comment="BaPrO3 | Alexandria | PBE | optimized geometry" e_tot_ev_per_fu=-34.333 formation_energy_uncorrected_ev_per_atom=-2.5512 dos_ef_per_ev_fu=3.377 pbc="T T T"
Ba 0.0000 2.2861 0.1269
Ba 3.2145 2.2861 3.1044
Pr 3.2145 0.0000 0.0000
Pr 0.0000 0.0000 3.2313
O 3.2145 2.2861 -0.6573
O 1.6073 5.1308 -1.6157
O 1.6073 0.5586 1.6157
O -1.6073 4.0137 1.6157
O 1.6073 4.0137 1.6157
O 0.0000 2.2861 3.8886

---

Entry 7:
4
Lattice="3.3834 0.0000 0.0000 0.0000 3.3834 0.0000 0.0000 0.0000 9.0082" Properties=species:S:1:pos:R:3 comment="Dy2PaAl | Alexandria | PBE | optimized geometry" de_polymorph_ev_per_atom=0.000 e_tot_ev_per_fu=-22.711 dos_ef_per_ev_fu=5.138 pbc="T T T"
Dy 0.0000 0.0000 2.0358
Dy 0.0000 0.0000 6.9725
Pa 1.6917 1.6917 4.5041
Al 1.6917 1.6917 0.0000

---

Entry 8:
3
Lattice="3.0724 0.0000 0.0000 -1.5362 2.6607 0.0000 0.0000 0.0000 6.4816" Properties=species:S:1:pos:R:3 comment="AgAsPd | Alexandria | PBE | optimized geometry" de_polymorph_ev_per_atom=0.059 e_tot_ev_per_fu=-12.900 dos_ef_per_ev_fu=0.993 pbc="T T T"
Ag 0.0000 0.0000 0.0000
As 0.0000 1.7738 4.0734
Pd 1.5362 0.8869 2.2709

---

Entry 9:
18
Lattice="5.2644 0.0000 0.0000 -2.6322 4.5591 0.0000 0.0000 0.0000 9.1232" Properties=species:S:1:pos:R:3 comment="TeIrPdO6 | Alexandria | PBE | optimized geometry" e_tot_ev_per_fu=-52.797 formation_energy_uncorrected_ev_per_atom=-0.6503 dos_ef_per_ev_fu=5.065 pbc="T T T"
Te 0.0000 3.0394 2.2808
Te 2.6322 1.5197 6.8424
Ir 0.0000 3.0394 6.8424
Ir 2.6322 1.5197 2.2808
Pd 0.0000 0.0000 0.0000
Pd 0.0000 0.0000 4.5616
O -0.9362 1.6414 5.7544
O -1.6788 2.9277 7.9304
O 0.9362 1.6414 7.9304
O -0.7426 4.5492 5.7544
O 1.8896 0.0100 1.1928
O 0.9534 1.6315 3.3688
O 1.6788 2.9277 5.7544
O 0.7426 4.5492 7.9304
O 3.3748 0.0100 3.3688
O 1.6960 2.9177 1.1928
O 4.3110 1.6315 1.1928
O 3.5684 2.9177 3.3688

---

Entry 10:
3
Lattice="3.9632 0.0000 0.0000 0.0000 3.9632 0.0000 0.0000 0.0000 2.8762" Properties=species:S:1:pos:R:3 comment="Tc2P | Alexandria | PBE | optimized geometry" de_polymorph_ev_per_atom=0.638 e_tot_ev_per_fu=-25.542 dos_ef_per_ev_fu=4.573 pbc="T T T"
Tc 0.0000 1.9816 0.0000
Tc 1.9816 0.0000 0.0000
P 0.0000 0.0000 1.4381

---

Entry 11:
11
Lattice="4.4704 -6.3397 0.0000 4.4704 6.3397 0.0000 -1.7427 0.0000 6.7901" Properties=species:S:1:pos:R:3 comment="Pm7Nd2Ho2 | Alexandria | PBE | optimized geometry" de_polymorph_ev_per_atom=0.156 e_tot_ev_per_fu=-48.705 dos_ef_per_ev_fu=17.108 pbc="T T T"
Pm 0.0000 0.0000 0.0000
Pm 1.6387 3.1360 5.3665
Pm 2.2188 0.0000 2.5976
Pm 5.5594 3.1360 1.4236
Pm 1.6387 -3.1360 5.3665
Pm 4.9793 0.0000 4.1925
Pm 5.5594 -3.1360 1.4236
Nd 1.3385 0.0000 6.0100
Nd 5.8596 0.0000 0.7801
Ho 3.5990 4.8027 3.3950
Ho 3.5990 -4.8027 3.3950

---

Entry 12:
4
Lattice="4.7135 -1.4333 0.0000 4.7135 1.4333 0.0000 -1.4706 0.0000 4.2004" Properties=species:S:1:pos:R:3 comment="AlOs | Alexandria | PBE | optimized geometry" e_tot_ev_per_fu=-15.665 dos_ef_per_ev_fu=1.121 pbc="T T T"
Al 0.6129 0.0000 1.2983
Al 7.3434 0.0000 2.9021
Os 3.1695 0.0000 0.7923
Os 4.7868 0.0000 3.4080